# 1
# Y2Ni12As7

Y2Ni12As7 after structural relaxation (PBE, the Alexandria database).

## Properties
Formation energy from the elements ... -0.53 eV/atom
Energy above the most stable polymorph in this dataset ... 8 meV/atom
Crystal system ... trigonal
DOS(E_F) ... 13.33 states/eV per cell
SG ... No. 147

a = 3.8414 Å, b = 9.4093 Å, c = 9.4093 Å
α = 120.00°, β = 90.00°, γ = 90.00°
With the nearest neighbours (Å) after each atom.
Fractional positions:
1 Y 0.7519 0.6667 0.3333  6 As 2.98-2.99, 9 Ni 3.10-3.30
2 Y 0.2481 0.3333 0.6667  6 As 2.98-2.99, 9 Ni 3.10-3.30
3 Ni 0.7489 0.5669 0.6230  4 As 2.34-2.43, 1 Ni 2.59
4 Ni 0.2511 0.6230 0.0561  4 As 2.34-2.43, 1 Ni 2.59
5 Ni 0.2323 0.1396 0.8819  4 As 2.34-2.51, 1 Ni 2.59
6 Ni 0.7489 0.3770 0.9439  4 As 2.34-2.43, 1 Ni 2.59
7 Ni 0.2511 0.9439 0.5669  4 As 2.34-2.43, 1 Ni 2.59
8 Ni 0.7677 0.2577 0.1396  4 As 2.34-2.51, 1 Ni 2.59
9 Ni 0.2511 0.4331 0.3770  4 As 2.34-2.43, 1 Ni 2.59
10 Ni 0.7489 0.0561 0.4331  4 As 2.34-2.43, 1 Ni 2.59
11 Ni 0.7677 0.8604 0.1181  4 As 2.34-2.51, 1 Ni 2.59
12 Ni 0.7677 0.8819 0.7423  4 As 2.34-2.51, 1 Ni 2.59
13 Ni 0.2323 0.7423 0.8604  4 As 2.34-2.51, 1 Ni 2.59
14 Ni 0.2323 0.1181 0.2577  4 As 2.34-2.51, 1 Ni 2.59
15 As 0.5000 0.0000 0.0000  6 Ni 2.34
16 As 0.7457 0.5929 0.8871  7 Ni 2.34-2.51
17 As 0.7457 0.2943 0.4071  7 Ni 2.34-2.51
18 As 0.7457 0.1129 0.7057  7 Ni 2.34-2.51
19 As 0.2543 0.4071 0.1129  7 Ni 2.34-2.51
20 As 0.2543 0.8871 0.2943  7 Ni 2.34-2.51
21 As 0.2543 0.7057 0.5929  7 Ni 2.34-2.51


# 2
# K2Tc

K2Tc after structural relaxation (PBE, the Alexandria database).

## Properties
Formation energy from the elements ... 1.38 eV/atom
Energy above the most stable polymorph in this dataset ... 735 meV/atom
Crystal system ... hexagonal
DOS(E_F) ... 3.49 states/eV per cell
SG ... No. 191

a = 6.0470 Å, b = 6.0470 Å, c = 2.7711 Å
α = 90.00°, β = 90.00°, γ = 120.00°
With the nearest neighbours (Å) after each atom.
Fractional positions:
1 Tc 0.6667 0.3333 0.3333  2 Tc 2.77
2 K 0.0000 0.0000 0.8318  2 K 2.77
3 K 0.3333 0.6667 0.8349  2 K 2.77


# 3
# PtAuIN2

PtAuIN2 after structural relaxation (PBE, the Alexandria database).

## Properties
Energy above the most stable polymorph in this dataset ... 0 meV/atom
Uncorrected formation energy ... 1116 meV per atom
Crystal system ... tetragonal
DOS(E_F) ... 1.86 states/eV per cell
SG ... No. 123

a = 3.8383 Å, b = 3.8383 Å, c = 8.9646 Å
α = 90.00°, β = 90.00°, γ = 90.00°
With the nearest neighbours (Å) after each atom.
Fractional positions:
1 Au 0.5000 0.5000 0.5000  4 I 2.71
2 N 0.0000 0.5000 0.0000  2 Pt 1.92
3 N 0.5000 0.0000 0.0000  2 Pt 1.92
4 I 0.0000 0.0000 0.5000  4 Au 2.71
5 Pt 0.0000 0.0000 0.0000  4 N 1.92


# 4
# Pt2PbCl

Pt2PbCl after structural relaxation (PBE, the Alexandria database).

## Properties
Energy above the most stable polymorph in this dataset ... 0 meV/atom
Uncorrected formation energy ... -88 meV per atom
Crystal system ... monoclinic
DOS(E_F) ... 1.74 states/eV per cell
SG ... No. 6

a = 3.7393 Å, b = 3.6334 Å, c = 7.2543 Å
α = 90.45°, β = 90.00°, γ = 90.00°
With the nearest neighbours (Å) after each atom.
Fractional positions:
1 Pt 0.5000 0.3834 0.1166  4 Pt 2.63
2 Pt 0.0000 0.8830 0.0686  4 Pt 2.63, 2 Pb 2.89
3 Cl 0.0000 0.3660 0.5506  4 Pb 3.03-3.04
4 Pb 0.5000 0.8676 0.7642  4 Pt 2.89-3.16, 4 Cl 3.03-3.04


# 5
# RbSr2Si2

RbSr2Si2 after structural relaxation (PBE, the Alexandria database).

## Properties
Energy above the most stable polymorph in this dataset ... 82 meV/atom
Uncorrected formation energy ... -27 meV per atom
Crystal system ... tetragonal
DOS(E_F) ... 5.47 states/eV per cell
SG ... No. 139

a = 5.5501 Å, b = 5.5501 Å, c = 6.9901 Å
α = 66.61°, β = 66.61°, γ = 90.00°
With the nearest neighbours (Å) after each atom.
Fractional positions:
1 Sr 0.2500 0.7500 0.5000  4 Si 3.26
2 Sr 0.7500 0.2500 0.5000  4 Si 3.26
3 Si 0.6027 0.6027 0.7946  1 Si 2.38
4 Si 0.3973 0.3973 0.2054  1 Si 2.38
5 Rb 0.0000 0.0000 0.0000  8 Sr 4.01, 8 Si 4.10


# 6
# TiZnInP2

TiZnInP2 after structural relaxation (PBE, the Alexandria database).

## Properties
Formation energy from the elements ... 0.70 eV/atom
Crystal system ... tetragonal
DOS(E_F) ... 3.91 states/eV per cell
SG ... No. 123

a = 4.5604 Å, b = 4.9963 Å, c = 4.5604 Å
α = 90.00°, β = 90.00°, γ = 90.00°
With the nearest neighbours (Å) after each atom.
Fractional positions:
1 P 0.5000 0.0000 0.0000  2 Zn 2.28
2 P 0.0000 0.0000 0.5000  2 Zn 2.28
3 In 0.5000 0.5000 0.5000  4 Ti 3.22, 8 P 3.38
4 Zn 0.0000 0.0000 0.0000  4 P 2.28, 2 Ti 2.50
5 Ti 0.0000 0.5000 0.0000  2 Zn 2.50


# 7
# Ti2CuPbO6

Ti2CuPbO6 after structural relaxation (PBE, the Alexandria database).

## Properties
Uncorrected formation energy ... -2089 meV per atom
Crystal system ... monoclinic
DOS(E_F) ... 11.13 states/eV per cell
SG ... No. 15

a = 6.3466 Å, b = 7.2491 Å, c = 7.2491 Å
α = 98.94°, β = 74.43°, γ = 74.43°
With the nearest neighbours (Å) after each atom.
Fractional positions:
1 O 0.5500 0.5757 0.6584  2 Ti 1.88-1.93
2 O 0.0500 0.6584 0.5757  2 Ti 1.88-1.93
3 O 0.1916 0.9436 0.7770  1 Ti 1.85, 1 Cu 2.05
4 O 0.5609 0.1770 0.6385  1 Ti 1.80, 1 Cu 1.91
5 O 0.8084 0.0564 0.2230  1 Ti 1.85, 1 Cu 2.05
6 O 0.3084 0.2230 0.0564  1 Ti 1.85, 1 Cu 2.05
7 O 0.4391 0.8230 0.3615  1 Ti 1.80, 1 Cu 1.91
8 O 0.9500 0.3416 0.4243  2 Ti 1.88-1.93
9 O 0.9391 0.3615 0.8230  1 Ti 1.80, 1 Cu 1.91
10 O 0.4500 0.4243 0.3416  2 Ti 1.88-1.93
11 O 0.0609 0.6385 0.1770  1 Ti 1.80, 1 Cu 1.91
12 O 0.6916 0.7770 0.9436  1 Ti 1.85, 1 Cu 2.05
13 Ti 0.3274 0.7238 0.5649  4 O 1.80-1.93
14 Ti 0.6726 0.2762 0.4351  4 O 1.80-1.93
15 Ti 0.8274 0.5649 0.7238  4 O 1.80-1.93
16 Ti 0.1726 0.4351 0.2762  4 O 1.80-1.93
17 Cu 0.7500 0.7902 0.2098  4 O 1.91-2.05
18 Cu 0.2500 0.2098 0.7902  4 O 1.91-2.05
19 Pb 0.2500 0.8992 0.1008  6 O 2.53-2.56
20 Pb 0.7500 0.1008 0.8992  6 O 2.53-2.56


# 8
# CeMgH2

CeMgH2 after structural relaxation (PBE, the Alexandria database).

## Properties
Crystal system ... trigonal
DOS(E_F) ... 6.31 states/eV per cell
SG ... No. 166
E_tot ... -15.4 eV per cell

a = 3.7599 Å, b = 3.7599 Å, c = 5.7582 Å
α = 70.94°, β = 70.94°, γ = 60.00°
With the nearest neighbours (Å) after each atom.
Fractional positions:
1 Ce 0.5000 0.5000 0.5000  6 H 2.28
2 H 0.1225 0.1225 0.6324  1 Mg 1.96
3 H 0.8775 0.8775 0.3676  1 Mg 1.96
4 Mg 0.0000 0.0000 0.0000  2 H 1.96


# 9
# Zr4PdRu3

Zr4PdRu3 after structural relaxation (PBE, the Alexandria database).

## Properties
Formation energy from the elements ... -0.61 eV/atom
Crystal system ... orthorhombic
DOS(E_F) ... 4.61 states/eV per cell
SG ... No. 47

a = 3.2597 Å, b = 4.6973 Å, c = 9.3543 Å
α = 90.00°, β = 90.00°, γ = 90.00°
With the nearest neighbours (Å) after each atom.
Fractional positions:
1 Ru 0.5000 0.0000 0.7488  8 Zr 2.84-2.86
2 Ru 0.5000 0.0000 0.2512  8 Zr 2.84-2.86
3 Ru 0.5000 0.5000 0.5000  8 Zr 2.81-2.86
4 Zr 0.0000 0.5000 0.7442  6 Ru 2.81-2.86, 2 Pd 2.90
5 Zr 0.0000 0.5000 0.2558  6 Ru 2.81-2.86, 2 Pd 2.90
6 Zr 0.0000 0.0000 0.5000  8 Ru 2.84-2.86
7 Zr 0.0000 0.0000 0.0000  4 Pd 2.86, 4 Ru 2.86
8 Pd 0.5000 0.5000 0.0000  8 Zr 2.86-2.90


# 10
# GaSbPt2

GaSbPt2 after structural relaxation (PBE, the Alexandria database).

## Properties
Uncorrected formation energy ... -533 meV per atom
Crystal system ... orthorhombic
DOS(E_F) ... 14.31 states/eV per cell
SG ... No. 61

a = 5.5223 Å, b = 7.0364 Å, c = 15.8579 Å
α = 90.00°, β = 90.00°, γ = 90.00°
With the nearest neighbours (Å) after each atom.
Fractional positions:
1 Sb 0.7493 0.9162 0.3172  6 Pt 2.72-2.81
2 Sb 0.7507 0.4162 0.6828  6 Pt 2.72-2.81
3 Sb 0.7507 0.9162 0.8172  6 Pt 2.72-2.81
4 Sb 0.2507 0.5838 0.8172  6 Pt 2.72-2.81
5 Sb 0.2493 0.0838 0.1828  6 Pt 2.72-2.81
6 Sb 0.7493 0.4162 0.1828  6 Pt 2.72-2.81
7 Sb 0.2507 0.0838 0.6828  6 Pt 2.72-2.81
8 Sb 0.2493 0.5838 0.3172  6 Pt 2.72-2.81
9 Ga 0.2488 0.5727 0.5623  6 Pt 2.60-2.66
10 Ga 0.2512 0.0727 0.4377  6 Pt 2.60-2.66
11 Ga 0.2488 0.0727 0.9377  6 Pt 2.60-2.66
12 Ga 0.7512 0.9273 0.0623  6 Pt 2.60-2.66
13 Ga 0.7488 0.9273 0.5623  6 Pt 2.60-2.66
14 Ga 0.7512 0.4273 0.4377  6 Pt 2.60-2.66
15 Ga 0.2512 0.5727 0.0623  6 Pt 2.60-2.66
16 Ga 0.7488 0.4273 0.9377  6 Pt 2.60-2.66
17 Pt 0.4998 0.7495 0.6816  2 Ga 2.65, 4 Sb 2.72-2.81, 2 Pt 2.76
18 Pt 0.9998 0.7505 0.6816  2 Ga 2.65, 4 Sb 2.72-2.81, 2 Pt 2.76
19 Pt 0.4998 0.2495 0.8184  2 Ga 2.65, 4 Sb 2.72-2.81, 2 Pt 2.76
20 Pt 0.9998 0.7508 0.4479  4 Ga 2.60-2.66, 2 Sb 2.75, 2 Pt 2.76
21 Pt 0.5002 0.2508 0.5521  4 Ga 2.60-2.66, 2 Sb 2.75, 2 Pt 2.76
22 Pt 0.9998 0.2508 0.0521  4 Ga 2.60-2.66, 2 Sb 2.75, 2 Pt 2.76
23 Pt 0.5002 0.7508 0.9479  4 Ga 2.60-2.66, 2 Sb 2.75, 2 Pt 2.76
24 Pt 0.9998 0.2505 0.8184  2 Ga 2.65, 4 Sb 2.72-2.81, 2 Pt 2.76
25 Pt 0.0002 0.2495 0.3184  2 Ga 2.65, 4 Sb 2.72-2.81, 2 Pt 2.76
26 Pt 0.5002 0.2505 0.3184  2 Ga 2.65, 4 Sb 2.72-2.81, 2 Pt 2.76
27 Pt 0.4998 0.2492 0.0521  4 Ga 2.60-2.66, 2 Sb 2.75, 2 Pt 2.76
28 Pt 0.0002 0.7495 0.1816  2 Ga 2.65, 4 Sb 2.72-2.81, 2 Pt 2.76
29 Pt 0.0002 0.7492 0.9479  4 Ga 2.60-2.66, 2 Sb 2.75, 2 Pt 2.76
30 Pt 0.4998 0.7492 0.4479  4 Ga 2.60-2.66, 2 Sb 2.75, 2 Pt 2.76
31 Pt 0.0002 0.2492 0.5521  4 Ga 2.60-2.66, 2 Sb 2.75, 2 Pt 2.76
32 Pt 0.5002 0.7505 0.1816  2 Ga 2.65, 4 Sb 2.72-2.81, 2 Pt 2.76


- Among the records above, which one has the lowest DOS(E_F)?
  Pt2PbCl


Repeat the sixth record exactly.
# TiZnInP2

TiZnInP2 after structural relaxation (PBE, the Alexandria database).

## Properties
Formation energy from the elements ... 0.70 eV/atom
Crystal system ... tetragonal
DOS(E_F) ... 3.91 states/eV per cell
SG ... No. 123

a = 4.5604 Å, b = 4.9963 Å, c = 4.5604 Å
α = 90.00°, β = 90.00°, γ = 90.00°
With the nearest neighbours (Å) after each atom.
Fractional positions:
1 P 0.5000 0.0000 0.0000  2 Zn 2.28
2 P 0.0000 0.0000 0.5000  2 Zn 2.28
3 In 0.5000 0.5000 0.5000  4 Ti 3.22, 8 P 3.38
4 Zn 0.0000 0.0000 0.0000  4 P 2.28, 2 Ti 2.50
5 Ti 0.0000 0.5000 0.0000  2 Zn 2.50


- The highest DOS(E_F) belongs to which entry?
  GaSbPt2


- What is the formula in the seventh record?
  Ti2CuPbO6